DFT (PBE-GGA) results for a relaxed KTbAg3S4 crystal.

Cell lengths 6.202, 7.513, 10.446 Å; angles 90.00, 103.33, 90.00 degrees
Positions (direct):
Ag 0.071 0.250 0.211
Ag 0.212 0.056 0.467
Ag 0.212 0.444 0.467
Ag 0.788 0.556 0.533
Ag 0.788 0.944 0.533
Ag 0.929 0.750 0.789
K 0.231 0.750 0.125
K 0.769 0.250 0.875
S 0.328 0.250 0.074
S 0.880 0.517 0.285
S 0.880 0.983 0.285
S 0.448 0.750 0.452
S 0.552 0.250 0.548
S 0.120 0.017 0.715
S 0.120 0.483 0.715
S 0.672 0.750 0.926
Tb 0.616 0.250 0.300
Tb 0.384 0.750 0.700

Output
space-group type	P2_1/m (11)
density	4.56	g/cm³
total DFT energy (no corrections)	-4.1017	eV per atom
crystal system	monoclinic

=====

DFT (PBE-GGA) results for a relaxed KTcAgTe2S crystal.

Cell lengths 8.083, 8.083, 10.268 Å; angles 90.00, 90.00, 151.41 degrees
Positions (direct):
Ag 0.961 0.039 0.250
Ag 0.039 0.961 0.750
K 0.252 0.748 0.250
K 0.748 0.252 0.750
S 0.557 0.443 0.250
S 0.443 0.557 0.750
Tc 0.500 0.500 0.000
Tc 0.500 0.500 0.500
Te 0.876 0.124 0.020
Te 0.876 0.124 0.480
Te 0.124 0.876 0.520
Te 0.124 0.876 0.980

Output
space-group type	Cmcm (63)
density	5.51	g/cm³
total DFT energy (no corrections)	-4.2933	eV per atom
crystal system	orthorhombic